(1)
Here is a PBEsol-optimized structure of ZnAg2Pt from Alexandria via LeMat-Bulk. Energies are from SCAN.

## Properties
Formation enthalpy at 0 K in meV per atom: -132

a = 4.4281 Å, b = 4.4281 Å, c = 4.4281 Å
α = 60.00°, β = 60.00°, γ = 60.00°
Sites, in units of the cell vectors:
Zn  0.0000  0.0000  0.0000
Ag  0.2500  0.2500  0.2500
Ag  0.5000  0.5000  0.5000
Pt  0.7500  0.7500  0.7500

---

(2)
Here is a PBEsol-optimized structure of Mg2Co12P7 from Alexandria via LeMat-Bulk. Energies are from SCAN.

## Properties
Formation enthalpy at 0 K in meV per atom: -530

a = 8.8704 Å, b = 8.8704 Å, c = 3.4169 Å
α = 90.00°, β = 90.00°, γ = 120.00°
Sites, in units of the cell vectors:
Mg  0.0000  0.0000  0.0000
Mg  0.3333  0.6667  0.5000
Co  0.0434  0.2675  0.5000
Co  0.1082  0.7149  0.0000
Co  0.2241  0.9566  0.5000
Co  0.2851  0.3933  0.0000
Co  0.4277  0.1997  0.0000
Co  0.5141  0.4549  0.5000
Co  0.5451  0.0593  0.5000
Co  0.6067  0.8918  0.0000
Co  0.7325  0.7759  0.5000
Co  0.7721  0.5723  0.0000
Co  0.8003  0.2279  0.0000
Co  0.9407  0.4859  0.5000
P  0.0724  0.4464  0.0000
P  0.2610  0.2178  0.5000
P  0.3741  0.9276  0.0000
P  0.5536  0.6259  0.0000
P  0.6667  0.3333  0.5000
P  0.7822  0.0432  0.5000
P  0.9568  0.7390  0.5000

---

(3)
Here is a PBEsol-optimized structure of Ca2YOs from Alexandria via LeMat-Bulk. Energies are from SCAN.

## Properties
Polymorph energy (0 for the lowest one) in meV per atom: 0
Formation enthalpy at 0 K in meV per atom: 265

a = 5.0665 Å, b = 5.0665 Å, c = 5.0665 Å
α = 60.00°, β = 60.00°, γ = 60.00°
Sites, in units of the cell vectors:
Ca  0.0000  0.0000  0.0000
Ca  0.2500  0.2500  0.2500
Y  0.5000  0.5000  0.5000
Os  0.7500  0.7500  0.7500

---

(4)
Here is a PBEsol-optimized structure of MnAu2Br from Alexandria via LeMat-Bulk. Energies are from SCAN.

## Properties
Polymorph energy (0 for the lowest one) in meV per atom: 75
ΔE_f (raw) in eV/f.u.: -0.36

a = 3.1941 Å, b = 3.1941 Å, c = 7.1962 Å
α = 90.00°, β = 90.00°, γ = 90.00°
Sites, in units of the cell vectors:
Mn  0.0000  0.0000  0.0000
Au  0.5000  0.5000  0.2136
Au  0.5000  0.5000  0.7864
Br  0.0000  0.0000  0.5000

---

(5)
Here is a PBEsol-optimized structure of LiTa2I from Alexandria via LeMat-Bulk. Energies are from SCAN.

## Properties
ΔE_f (raw) in eV/f.u.: 4.37

a = 4.6267 Å, b = 4.6267 Å, c = 4.6267 Å
α = 60.00°, β = 60.00°, γ = 60.00°
Sites, in units of the cell vectors:
Li  0.0000  0.0000  0.0000
Ta  0.2500  0.2500  0.2500
Ta  0.7500  0.7500  0.7500
I  0.5000  0.5000  0.5000

---

(6)
Here is a PBEsol-optimized structure of Fe2Ge2Bi from Alexandria via LeMat-Bulk. Energies are from SCAN.

## Properties
Formation enthalpy at 0 K in meV per atom: 407

a = 5.4874 Å, b = 5.4874 Å, c = 5.4874 Å
α = 135.49°, β = 135.49°, γ = 64.78°
Sites, in units of the cell vectors:
Fe  0.2500  0.7500  0.5000
Fe  0.7500  0.2500  0.5000
Ge  0.1365  0.1365  0.0000
Ge  0.8635  0.8635  0.0000
Bi  0.5000  0.5000  0.0000

---

| no. | magnetization (μB per cell) | mass density (Mg/m³) |
| --- | --- | --- |
| 1 | 0.000 | 12.9 |
| 2 | 0.001 | 6.9 |
| 3 | 0.000 | 6.5 |
| 4 | 4.131 | 12.0 |
| 5 | 0.000 | 11.8 |
| 6 | 0.001 | 9.7 |